(1)
First-principles (PBEsol) data for crystalline Lu3Si4Pd4 at its relaxed geometry, as listed in the Alexandria database.

Unit cell a=3.670 b=4.159 c=12.676 alpha=99.44 beta=98.32 gamma=90.00
Atoms (fractional coordinates):
Si  0.190  0.190  0.381
Si  0.047  0.547  0.094
Si  0.953  0.453  0.906
Si  0.810  0.810  0.619
Lu  0.644  0.644  0.288
Lu  0.356  0.356  0.712
Lu  0.500  0.000  0.000
Pd  0.246  0.746  0.492
Pd  0.906  0.906  0.811
Pd  0.094  0.094  0.189
Pd  0.754  0.254  0.508

Values from the calculation:
Formation energy without anion corrections, eV/atom: -0.97
DFT total energy, eV/atom: -6.555


(2)
First-principles (PBEsol) data for crystalline LuSnPd2 at its relaxed geometry, as listed in the Alexandria database.

Unit cell a=4.668 b=4.668 c=4.668 alpha=60.00 beta=60.00 gamma=60.00
Atoms (fractional coordinates):
Lu  0.500  0.500  0.500
Sn  0.000  0.000  0.000
Pd  0.750  0.750  0.750
Pd  0.250  0.250  0.250

Values from the calculation:
DFT total energy, eV/atom: -6.189
Calculated formation energy, eV/f.u.: -3.7


(3)
First-principles (PBEsol) data for crystalline Lu7Te2Pd2 at its relaxed geometry, as listed in the Alexandria database.

Unit cell a=3.826 b=9.091 c=9.091 alpha=61.75 beta=77.85 gamma=77.85
Atoms (fractional coordinates):
Lu  0.817  0.810  0.556
Lu  0.183  0.444  0.190
Lu  0.500  0.500  0.500
Lu  0.369  0.048  0.214
Lu  0.631  0.786  0.952
Lu  0.144  0.123  0.589
Lu  0.856  0.411  0.877
Te  0.500  0.161  0.839
Te  0.000  0.767  0.233
Pd  0.264  0.668  0.804
Pd  0.736  0.196  0.332

Values from the calculation:
Formation energy without anion corrections, eV/atom: -0.85
DFT total energy, eV/atom: -5.680


(4)
First-principles (PBEsol) data for crystalline TmLuPd2 at its relaxed geometry, as listed in the Alexandria database.

Unit cell a=4.798 b=4.798 c=4.798 alpha=60.00 beta=60.00 gamma=60.00
Atoms (fractional coordinates):
Lu  0.500  0.500  0.500
Tm  0.000  0.000  0.000
Pd  0.250  0.250  0.250
Pd  0.750  0.750  0.750

Values from the calculation:
DFT total energy, eV/atom: -6.368
Calculated formation energy, eV/f.u.: -3.8


(5)
First-principles (PBEsol) data for crystalline Lu2ZnPd at its relaxed geometry, as listed in the Alexandria database.

Unit cell a=4.812 b=4.812 c=4.812 alpha=60.00 beta=60.00 gamma=60.00
Atoms (fractional coordinates):
Zn  0.500  0.500  0.500
Lu  0.750  0.750  0.750
Lu  0.250  0.250  0.250
Pd  0.000  0.000  0.000

Values from the calculation:
DFT total energy, eV/atom: -4.978
Calculated formation energy, eV/f.u.: -2.6


(6)
First-principles (PBEsol) data for crystalline LuZnPd2 at its relaxed geometry, as listed in the Alexandria database.

Unit cell a=4.528 b=4.528 c=4.528 alpha=60.00 beta=60.00 gamma=60.00
Atoms (fractional coordinates):
Zn  0.000  0.000  0.000
Lu  0.500  0.500  0.500
Pd  0.250  0.250  0.250
Pd  0.750  0.750  0.750

Values from the calculation:
DFT total energy, eV/atom: -5.380
Calculated formation energy, eV/f.u.: -3.1


The highest DFT total energy belongs to which entry?
Lu2ZnPd